# 1
# CsBeH6Rh

A geometry-optimized CsBeH6Rh structure (GGA-PBE, Alexandria).

calculated density	3907	kg/m3
E	-3.746	eV per atom
V	106.6	Å³/cell
spin magnetization	0.00	μB per cell

Lattice parameters (Å, degrees): 4.365 4.365 6.463 90.00 90.00 60.00
Atoms (fractional coordinates):
H 0.356 0.638 0.356
H 0.006 0.638 0.644
H 0.638 0.006 0.356
Be 0.667 0.667 0.500
H 0.006 0.356 0.356
H 0.356 0.006 0.644
Rh 0.333 0.333 0.500
H 0.638 0.356 0.644
Cs 0.000 0.000 0.000



# 2
# Cs2BeHS2

A geometry-optimized Cs2BeHS2 structure (GGA-PBE, Alexandria).

calculated density	3034	kg/m3
E	-3.444	eV per atom
V	372.1	Å³/cell
spin magnetization	2.09	μB per cell

Lattice parameters (Å, degrees): 5.474 10.477 8.777 126.64 108.17 90.00
Site moments in Bohr magnetons follow the coordinates.
Atoms (fractional coordinates):
Cs 0.633 0.937 0.266  0.01
Cs 0.133 0.328 0.266  0.01
Be 0.750 0.500 0.000  -0.01
H 0.250 0.000 0.000  0.16
H 0.750 0.000 0.000  0.16
Cs 0.867 0.672 0.734  0.01
Cs 0.367 0.063 0.734  0.01
S 0.908 0.302 0.816  0.19
S 0.592 0.485 0.184  0.19
Be 0.250 0.500 0.000  -0.01
S 0.092 0.698 0.184  0.19
S 0.408 0.515 0.816  0.19



# 3
# CsBeSnH6

A geometry-optimized CsBeSnH6 structure (GGA-PBE, Alexandria).

calculated density	3232	kg/m3
E	-2.999	eV per atom
V	137.0	Å³/cell
spin magnetization	0.00	μB per cell

Lattice parameters (Å, degrees): 5.038 5.038 6.233 90.00 90.00 60.00
Atoms (fractional coordinates):
H 0.594 0.350 0.651
Be 0.333 0.333 0.500
H 0.594 0.056 0.349
Cs 0.000 0.000 0.000
H 0.056 0.594 0.651
H 0.350 0.594 0.349
H 0.056 0.350 0.349
H 0.350 0.056 0.651
Sn 0.667 0.667 0.500



# 4
# CsBe2ZnH8

A geometry-optimized CsBe2ZnH8 structure (GGA-PBE, Alexandria).

calculated density	2893	kg/m3
E	-2.930	eV per atom
V	128.8	Å³/cell
spin magnetization	0.00	μB per cell

Lattice parameters (Å, degrees): 4.031 4.031 8.464 76.02 76.02 80.86
Atoms (fractional coordinates):
H 0.728 0.728 0.008
Be 0.434 0.434 0.820
H 0.207 0.701 0.162
Cs 0.000 0.000 0.500
H 0.422 0.422 0.657
H 0.793 0.299 0.838
Be 0.566 0.566 0.180
H 0.701 0.207 0.162
H 0.272 0.272 0.992
H 0.578 0.578 0.343
H 0.299 0.793 0.838
Zn 0.000 0.000 0.000



# 5
# CsHfBe3

A geometry-optimized CsHfBe3 structure (GGA-PBE, Alexandria).

energy above the lowest structure with this stoichiometry	0.00	eV/f.u.
calculated density	3888	kg/m3
E	-2.894	eV per atom
V	144.6	Å³/cell
spin magnetization	2.06	μB per cell
ΔE_f	1.504	eV/atom

Lattice parameters (Å, degrees): 5.248 5.248 5.248 90.00 90.00 90.00
Site moments in Bohr magnetons follow the coordinates.
Atoms (fractional coordinates):
Be 0.500 0.000 0.000  0.12
Be 0.000 0.500 0.000  0.11
Hf 0.000 0.000 0.000  0.71
Be 0.000 0.000 0.500  0.05
Cs 0.500 0.500 0.500  0.04



# 6
# Cs3HfBe

A geometry-optimized Cs3HfBe structure (GGA-PBE, Alexandria).

calculated density	3062	kg/m3
E	-1.594	eV per atom
V	317.9	Å³/cell
spin magnetization	5.01	μB per cell
ΔE_f	1.654	eV/atom

Lattice parameters (Å, degrees): 6.825 6.825 6.825 90.00 90.00 90.00
Site moments in Bohr magnetons follow the coordinates.
Atoms (fractional coordinates):
Cs 0.000 0.500 0.000  0.09
Cs 0.000 0.000 0.500  0.10
Be 0.500 0.500 0.500  0.09
Hf 0.000 0.000 0.000  1.67
Cs 0.500 0.000 0.000  0.07



# 7
# CsHfBe3

A geometry-optimized CsHfBe3 structure (GGA-PBE, Alexandria).

energy above the lowest structure with this stoichiometry	4.70	eV/f.u.
calculated density	5245	kg/m3
E	-1.953	eV per atom
V	107.1	Å³/cell
spin magnetization	0.00	μB per cell
ΔE_f	2.444	eV/atom

Lattice parameters (Å, degrees): 4.750 4.750 4.750 90.00 90.00 90.00
Atoms (fractional coordinates):
Be 0.000 0.000 0.500
Hf 0.500 0.500 0.500
Be 0.500 0.000 0.000
Be 0.000 0.500 0.000
Cs 0.000 0.000 0.000



# 8
# CsHf2Be

A geometry-optimized CsHf2Be structure (GGA-PBE, Alexandria).

calculated density	5901	kg/m3
E	-4.615	eV per atom
V	280.8	Å³/cell
spin magnetization	1.15	μB per cell
ΔE_f	1.507	eV/atom

Lattice parameters (Å, degrees): 5.977 5.977 8.924 70.44 70.44 90.00
Site moments in Bohr magnetons follow the coordinates.
Atoms (fractional coordinates):
Hf 0.875 0.625 0.750  0.14
Hf 0.375 0.625 0.250  0.14
Hf 0.375 0.125 0.250  0.14
Cs 0.000 0.000 0.000  0.02
Cs 0.750 0.250 0.500  0.02
Hf 0.375 0.625 0.750  0.14
Be 0.250 0.750 0.500  0.01
Be 0.500 0.500 0.000  0.01



# 9
# Cs2HfBeI6

A geometry-optimized Cs2HfBeI6 structure (GGA-PBE, Alexandria).

calculated density	4482	kg/m3
E	-3.228	eV per atom
raw formation energy	-0.76	eV/atom
V	450.1	Å³/cell
spin magnetization	0.00	μB per cell

Lattice parameters (Å, degrees): 8.600 8.600 8.603 60.01 60.01 90.00
Atoms (fractional coordinates):
I 0.237 0.237 0.000
I 0.763 0.237 0.000
Cs 0.750 0.250 0.500
Be 0.500 0.500 0.000
I 0.237 0.237 0.526
I 0.763 0.763 0.474
I 0.237 0.763 0.000
Cs 0.250 0.750 0.500
I 0.763 0.763 0.000
Hf 0.000 0.000 0.000



# 10
# CsHf2BeI

A geometry-optimized CsHf2BeI structure (GGA-PBE, Alexandria).

calculated density	7314	kg/m3
E	-2.835	eV per atom
raw formation energy	2.37	eV/atom
V	142.1	Å³/cell
spin magnetization	0.00	μB per cell

Lattice parameters (Å, degrees): 5.505 4.688 5.505 90.00 90.00 90.00
Atoms (fractional coordinates):
Hf 0.000 0.000 0.500
Hf 0.500 0.000 0.000
Cs 0.000 0.000 0.000
Be 0.000 0.500 0.000
I 0.500 0.500 0.500



# 11
# CsLaHf2Be

A geometry-optimized CsLaHf2Be structure (GGA-PBE, Alexandria).

calculated density	6142	kg/m3
E	-4.215	eV per atom
V	172.4	Å³/cell
spin magnetization	0.00	μB per cell
ΔE_f	1.668	eV/atom

Lattice parameters (Å, degrees): 5.510 5.679 5.510 90.00 90.00 90.00
Atoms (fractional coordinates):
Cs 0.500 0.500 0.500
Hf 0.000 0.000 0.500
Be 0.000 0.500 0.000
Hf 0.500 0.000 0.000
La 0.000 0.000 0.000



# 12
# CsHf2MnBe

A geometry-optimized CsHf2MnBe structure (GGA-PBE, Alexandria).

calculated density	7144	kg/m3
E	-5.249	eV per atom
V	128.7	Å³/cell
spin magnetization	0.00	μB per cell
ΔE_f	1.482	eV/atom

Lattice parameters (Å, degrees): 4.842 5.490 4.842 90.00 90.00 90.00
Atoms (fractional coordinates):
Hf 0.000 0.000 0.500
Cs 0.000 0.500 0.000
Be 0.500 0.500 0.500
Hf 0.500 0.000 0.000
Mn 0.000 0.000 0.000



# 13
# CsHfBeO4

A geometry-optimized CsHfBeO4 structure (GGA-PBE, Alexandria).

calculated density	5900	kg/m3
E	-7.364	eV per atom
raw formation energy	-2.45	eV/atom
V	216.4	Å³/cell
spin magnetization	2.03	μB per cell

Lattice parameters (Å, degrees): 5.188 5.557 8.085 90.00 111.81 90.00
Site moments in Bohr magnetons follow the coordinates.
Atoms (fractional coordinates):
O 0.527 0.250 0.439  0.47
O 0.967 0.476 0.651  0.09
O 0.033 0.976 0.349  0.09
O 0.033 0.524 0.349  0.09
O 0.967 0.024 0.651  0.09
Hf 0.193 0.250 0.535  -0.03
O 0.445 0.750 0.244  0.21
Cs 0.288 0.250 0.061  0.00
Hf 0.807 0.750 0.465  -0.03
O 0.473 0.750 0.561  0.47
O 0.555 0.250 0.756  0.21
Cs 0.712 0.750 0.939  0.00
Be 0.245 0.750 0.358  -0.01
Be 0.755 0.250 0.642  -0.01



# 14
# Cs2HfBeSi

A geometry-optimized Cs2HfBeSi structure (GGA-PBE, Alexandria).

calculated density	3645	kg/m3
E	-2.960	eV per atom
raw formation energy	1.20	eV/atom
V	219.3	Å³/cell
spin magnetization	2.39	μB per cell

Lattice parameters (Å, degrees): 7.344 4.067 7.344 90.00 90.00 90.00
Site moments in Bohr magnetons follow the coordinates.
Atoms (fractional coordinates):
Hf 0.500 0.500 0.500  1.36
Si 0.000 0.000 0.000  -0.05
Be 0.000 0.500 0.000  0.00
Cs 0.000 0.000 0.500  0.03
Cs 0.500 0.000 0.000  0.02



# 15
# CsBe3Hg

A geometry-optimized CsBe3Hg structure (GGA-PBE, Alexandria).

energy above the lowest structure with this stoichiometry	0.00	eV/f.u.
calculated density	5487	kg/m3
E	-1.568	eV per atom
V	109.1	Å³/cell
spin magnetization	0.00	μB per cell
ΔE_f	0.899	eV/atom

Lattice parameters (Å, degrees): 4.779 4.779 4.779 90.00 90.00 90.00
Atoms (fractional coordinates):
Be 0.000 0.000 0.500
Be 0.000 0.500 0.000
Cs 0.500 0.500 0.500
Hg 0.000 0.000 0.000
Be 0.500 0.000 0.000



# 16
# CsBe3Hg

A geometry-optimized CsBe3Hg structure (GGA-PBE, Alexandria).

energy above the lowest structure with this stoichiometry	5.96	eV/f.u.
calculated density	1591	kg/m3
E	-0.376	eV per atom
V	376.2	Å³/cell
spin magnetization	0.00	μB per cell
ΔE_f	2.091	eV/atom

Lattice parameters (Å, degrees): 7.219 7.219 7.219 90.00 90.00 90.00
Atoms (fractional coordinates):
Be 0.000 0.500 0.000
Hg 0.500 0.500 0.500
Cs 0.000 0.000 0.000
Be 0.000 0.000 0.500
Be 0.500 0.000 0.000



# 17
# CsBeHg3

A geometry-optimized CsBeHg3 structure (GGA-PBE, Alexandria).

energy above the lowest structure with this stoichiometry	3.90	eV/f.u.
calculated density	3090	kg/m3
E	-0.296	eV per atom
V	399.6	Å³/cell
spin magnetization	0.00	μB per cell
ΔE_f	0.801	eV/atom

Lattice parameters (Å, degrees): 7.366 7.366 7.366 90.00 90.00 90.00
Atoms (fractional coordinates):
Hg 0.000 0.500 0.000
Hg 0.000 0.000 0.500
Be 0.500 0.500 0.500
Hg 0.500 0.000 0.000
Cs 0.000 0.000 0.000



# 18
# Cs3BeHg

A geometry-optimized Cs3BeHg structure (GGA-PBE, Alexandria).

energy above the lowest structure with this stoichiometry	0.00	eV/f.u.
calculated density	2844	kg/m3
E	-0.835	eV per atom
V	355.2	Å³/cell
spin magnetization	0.00	μB per cell
ΔE_f	0.483	eV/atom

Lattice parameters (Å, degrees): 7.082 7.082 7.082 90.00 90.00 90.00
Atoms (fractional coordinates):
Be 0.000 0.000 0.000
Cs 0.500 0.000 0.000
Cs 0.000 0.000 0.500
Hg 0.500 0.500 0.500
Cs 0.000 0.500 0.000



# 19
# CsBeHg3

A geometry-optimized CsBeHg3 structure (GGA-PBE, Alexandria).

energy above the lowest structure with this stoichiometry	0.00	eV/f.u.
calculated density	8686	kg/m3
E	-1.077	eV per atom
V	142.2	Å³/cell
spin magnetization	0.00	μB per cell
ΔE_f	0.020	eV/atom

Lattice parameters (Å, degrees): 5.219 5.219 5.219 90.00 90.00 90.00
Atoms (fractional coordinates):
Cs 0.500 0.500 0.500
Hg 0.000 0.000 0.500
Hg 0.000 0.500 0.000
Hg 0.500 0.000 0.000
Be 0.000 0.000 0.000



# 20
# Cs2Be2HgI6

A geometry-optimized Cs2Be2HgI6 structure (GGA-PBE, Alexandria).

calculated density	3207	kg/m3
E	-2.542	eV per atom
raw formation energy	-0.84	eV/atom
V	645.0	Å³/cell
spin magnetization	0.00	μB per cell

Lattice parameters (Å, degrees): 8.709 10.368 10.639 104.92 89.98 45.99
Atoms (fractional coordinates):
I 0.983 0.409 0.171
Cs 0.015 0.784 0.198
I 0.087 0.786 0.576
Be 0.159 0.691 0.760
Hg 0.500 0.000 0.500
I 0.913 0.214 0.424
I 0.017 0.591 0.829
I 0.355 0.723 0.887
I 0.645 0.277 0.113
Be 0.841 0.309 0.240
Cs 0.985 0.216 0.802



# 21
# Cs2BeHgI6

A geometry-optimized Cs2BeHgI6 structure (GGA-PBE, Alexandria).

calculated density	4477	kg/m3
E	-2.263	eV per atom
raw formation energy	-0.76	eV/atom
V	458.8	Å³/cell
spin magnetization	0.00	μB per cell

Lattice parameters (Å, degrees): 8.906 8.906 8.551 58.62 58.62 90.00
Atoms (fractional coordinates):
Hg 0.000 0.000 0.000
Be 0.500 0.500 0.000
I 0.233 0.233 0.000
Cs 0.250 0.750 0.500
Cs 0.750 0.250 0.500
I 0.306 0.306 0.388
I 0.767 0.767 0.000
I 0.233 0.767 0.000
I 0.767 0.233 0.000
I 0.694 0.694 0.612



# 22
# Cs2LaBeHg

A geometry-optimized Cs2LaBeHg structure (GGA-PBE, Alexandria).

calculated density	4459	kg/m3
E	-1.423	eV per atom
V	228.8	Å³/cell
spin magnetization	0.04	μB per cell
ΔE_f	0.709	eV/atom

Lattice parameters (Å, degrees): 7.089 4.552 7.089 90.00 90.00 90.00
Atoms (fractional coordinates):
Hg 0.000 0.000 0.000
Cs 0.000 0.000 0.500
Be 0.000 0.500 0.000
La 0.500 0.500 0.500
Cs 0.500 0.000 0.000



# 23
# Cs2BeHgSe

A geometry-optimized Cs2BeHgSe structure (GGA-PBE, Alexandria).

calculated density	3355	kg/m3
E	-1.566	eV per atom
raw formation energy	0.28	eV/atom
V	274.4	Å³/cell
spin magnetization	0.00	μB per cell

Lattice parameters (Å, degrees): 7.123 5.409 7.123 90.00 90.00 90.00
Atoms (fractional coordinates):
Be 0.500 0.500 0.500
Cs 0.500 0.000 0.000
Cs 0.000 0.000 0.500
Hg 0.000 0.000 0.000
Se 0.000 0.500 0.000



# 24
# CsBeHgSe2

A geometry-optimized CsBeHgSe2 structure (GGA-PBE, Alexandria).

calculated density	4879	kg/m3
E	-2.854	eV per atom
raw formation energy	-0.48	eV/atom
V	340.6	Å³/cell
spin magnetization	0.00	μB per cell

Lattice parameters (Å, degrees): 4.986 7.915 8.644 92.97 90.00 90.00
Atoms (fractional coordinates):
Se 0.219 0.206 0.071
Se 0.781 0.206 0.571
Se 0.219 0.794 0.429
Cs 0.277 0.500 0.750
Cs 0.723 0.500 0.250
Be 0.000 0.000 0.500
Se 0.781 0.794 0.929
Hg 0.394 0.000 0.750
Be 0.000 0.000 0.000
Hg 0.606 0.000 0.250



# 25
# CsSr2BeHg

A geometry-optimized CsSr2BeHg structure (GGA-PBE, Alexandria).

calculated density	3919	kg/m3
E	-0.512	eV per atom
V	219.4	Å³/cell
spin magnetization	0.00	μB per cell
ΔE_f	1.137	eV/atom

Lattice parameters (Å, degrees): 6.623 5.002 6.623 90.00 90.00 90.00
Atoms (fractional coordinates):
Sr 0.000 0.000 0.500
Cs 0.000 0.000 0.000
Be 0.000 0.500 0.000
Hg 0.500 0.500 0.500
Sr 0.500 0.000 0.000